PuGa after structural relaxation. Source: Alexandria via LeMat-Bulk, functional GGA-PBE.

Energy of formation in meV/atom: -330

abc: 6.2107 6.2107 6.2107
angles: 117.98 117.98 93.53
Each line ends with the local moment (μB).
Atoms (fractional coordinates):
Pu 0.3005 0.3005 0.0000  5.35
Ga 0.7901 0.2099 0.0000  -0.07
Ga 0.2099 0.2099 0.4197  -0.07
Ga 0.7901 0.7901 0.5803  -0.07
Pu 0.6995 0.6995 0.0000  5.35
Ga 0.2099 0.7901 0.0000  -0.07
Pu 0.7500 0.2500 0.5000  5.33
Pu 0.2500 0.7500 0.5000  5.33

SrTl2Br after structural relaxation. Source: Alexandria via LeMat-Bulk, functional GGA-PBE.

Formation energy from raw total energies in eV/atom: -0.60
Energy relative to the lowest polymorph listed for this composition in eV/atom: 0.126

abc: 6.5990 6.5990 6.5990
angles: 144.12 126.19 66.37
Atoms (fractional coordinates):
Br 0.4787 0.4787 0.0000
Sr 0.2713 0.7713 0.5000
Tl 0.0073 0.0073 0.0000
Tl 0.7426 0.2426 0.5000

NdYTm2 after structural relaxation. Source: Alexandria via LeMat-Bulk, functional GGA-PBE.

Energy relative to the lowest polymorph listed for this composition in eV/atom: 0.019
Energy of formation in meV/atom: 28

abc: 5.0112 5.0420 5.0420
angles: 90.00 90.00 90.00
Atoms (fractional coordinates):
Nd 0.5000 0.5000 0.5000
Y 0.5000 0.0000 0.0000
Tm 0.0000 0.0000 0.5000
Tm 0.0000 0.5000 0.0000

Copy entry 3 word for word.
NdYTm2 after structural relaxation. Source: Alexandria via LeMat-Bulk, functional GGA-PBE.

Energy relative to the lowest polymorph listed for this composition in eV/atom: 0.019
Energy of formation in meV/atom: 28

abc: 5.0112 5.0420 5.0420
angles: 90.00 90.00 90.00
Atoms (fractional coordinates):
Nd 0.5000 0.5000 0.5000
Y 0.5000 0.0000 0.0000
Tm 0.0000 0.0000 0.5000
Tm 0.0000 0.5000 0.0000